VO2F: optimized geometry, GGA+U.

Values from the calculation:
The uncorrected energy comes out at -4.4896 eV/atom. As for the crystal system: trigonal. The density of states at the Fermi level comes out at 2.31 states/eV/f.u.

Lattice parameters (Å, degrees): 3.1836 3.1836 19.5382 90.00 90.00 120.00
Space group R-3m (No. 166, hexagonal axes)
Inequivalent atoms, fractional coordinates:
V  0.0000  0.0000  0.0000 (multiplicity 3)
O  0.0000  0.0000  0.0880 (multiplicity 6)
F  0.0000  0.0000  0.5000 (multiplicity 3)